First-principles (PBE) data for a relaxed structure of Cs2AgPbBr6, as listed in OQMD.

The calculation puts the raw total energy at -0.2151 Ry/atom.

It has space group Fm-3m (No. 225), with a = 11.3600 Å, b = 11.3600 Å, c = 11.3600 Å, α = 90.00°, β = 90.00° and γ = 90.00°. The asymmetric unit holds Cs at (0.2500, 0.2500, 0.2500), Ag at (0.0000, 0.0000, 0.0000), Pb at (0.0000, 0.0000, 0.5000) and Br at (0.0000, 0.0000, 0.2440).